Record 1
Here is a relaxed Tb5CePm8 crystal from Alexandria. Energies are from GGA-PBE.

Output
Density of states at the Fermi level (states/eV per cell): 25.92
Formation energy (eV/f.u.): 3.55
Total DFT energy (no corrections) (eV for the cell shown): -63.5
Size of the total moment (μB/cell): 1.2

```
data_Tb5CePm8
_cell_length_a 8.531
_cell_length_b 8.531
_cell_length_c 8.531
_cell_angle_alpha 111.78
_cell_angle_beta 111.78
_cell_angle_gamma 104.94
_space_group_name_H-M_alt 'P 1'
_space_group_IT_number 1
loop_
_space_group_symop_operation_xyz
'x,y,z'
loop_
_atom_site_label
_atom_site_type_symbol
_atom_site_fract_x
_atom_site_fract_y
_atom_site_fract_z
_atom_site_occupancy
Tb1 Tb 0.000 0.000 0.000 1
Tb2 Tb 0.319 0.634 0.098 1
Tb3 Tb 0.366 0.464 0.684 1
Tb4 Tb 0.536 0.221 0.902 1
Tb5 Tb 0.779 0.681 0.316 1
Ce1 Ce 0.750 0.250 0.500 1
Pm1 Pm 0.032 0.428 0.253 1
Pm2 Pm 0.061 0.167 0.732 1
Pm3 Pm 0.175 0.779 0.747 1
Pm4 Pm 0.221 0.968 0.395 1
Pm5 Pm 0.434 0.328 0.268 1
Pm6 Pm 0.572 0.825 0.605 1
Pm7 Pm 0.672 0.939 0.106 1
Pm8 Pm 0.833 0.566 0.894 1
```

---

Record 2
Here is a relaxed RbUCrN4 crystal from Alexandria. Energies are from GGA-PBE.

Output
Density of states at the Fermi level (states/eV per cell): 6.22
Uncorrected formation energy (kcal/mol of atoms): -15.54
Total DFT energy (no corrections) (eV for the cell shown): -119.8
Size of the total moment (μB/cell): 2.1

```
data_RbUCrN4
_cell_length_a 5.755
_cell_length_b 5.603
_cell_length_c 7.930
_cell_angle_alpha 90.00
_cell_angle_beta 107.65
_cell_angle_gamma 90.00
_space_group_name_H-M_alt 'P 1'
_space_group_IT_number 1
loop_
_space_group_symop_operation_xyz
'x,y,z'
loop_
_atom_site_label
_atom_site_type_symbol
_atom_site_fract_x
_atom_site_fract_y
_atom_site_fract_z
_atom_site_occupancy
Rb1 Rb 0.207 0.250 0.433 1
Rb2 Rb 0.793 0.750 0.567 1
U1 U 0.276 0.250 0.953 1
U2 U 0.724 0.750 0.047 1
Cr1 Cr 0.264 0.750 0.151 1
Cr2 Cr 0.736 0.250 0.849 1
N1 N 0.050 0.750 0.948 1
N2 N 0.055 0.750 0.272 1
N3 N 0.470 0.511 0.163 1
N4 N 0.470 0.989 0.163 1
N5 N 0.530 0.011 0.837 1
N6 N 0.530 0.489 0.837 1
N7 N 0.945 0.250 0.728 1
N8 N 0.950 0.250 0.052 1
```

---

Record 3
Here is a relaxed TmTh2Co crystal from Alexandria. Energies are from GGA-PBE.

Output
Density of states at the Fermi level (states/eV per cell): 13.60
Formation energy (eV/f.u.): -0.26
Offset from the most stable computed form (eV/atom): 0.118
Total DFT energy (no corrections) (eV for the cell shown): -80.0
Size of the total moment (μB/cell): 0.0

```
data_TmTh2Co
_cell_length_a 3.799
_cell_length_b 3.799
_cell_length_c 26.779
_cell_angle_alpha 90.00
_cell_angle_beta 90.00
_cell_angle_gamma 120.00
_space_group_name_H-M_alt 'P 1'
_space_group_IT_number 1
loop_
_space_group_symop_operation_xyz
'x,y,z'
loop_
_atom_site_label
_atom_site_type_symbol
_atom_site_fract_x
_atom_site_fract_y
_atom_site_fract_z
_atom_site_occupancy
Tm1 Tm 0.000 0.000 0.000 1
Tm2 Tm 0.333 0.667 0.667 1
Tm3 Tm 0.667 0.333 0.333 1
Th1 Th 0.000 0.000 0.226 1
Th2 Th 0.000 0.000 0.438 1
Th3 Th 0.333 0.667 0.105 1
Th4 Th 0.333 0.667 0.892 1
Th5 Th 0.667 0.333 0.559 1
Th6 Th 0.667 0.333 0.771 1
Co1 Co 0.000 0.000 0.832 1
Co2 Co 0.333 0.667 0.499 1
Co3 Co 0.667 0.333 0.166 1
```

---

Record 4
Here is a relaxed Y3ErNi crystal from Alexandria. Energies are from GGA-PBE.

Output
Density of states at the Fermi level (states/eV per cell): 9.48
Formation energy (eV/f.u.): -0.11
Offset from the most stable computed form (eV/atom): 0.152
Total DFT energy (no corrections) (eV for the cell shown): -29.8
Size of the total moment (μB/cell): 0.0

```
data_Y3ErNi
_cell_length_a 5.323
_cell_length_b 5.323
_cell_length_c 5.323
_cell_angle_alpha 90.00
_cell_angle_beta 90.00
_cell_angle_gamma 90.00
_space_group_name_H-M_alt 'P 1'
_space_group_IT_number 1
loop_
_space_group_symop_operation_xyz
'x,y,z'
loop_
_atom_site_label
_atom_site_type_symbol
_atom_site_fract_x
_atom_site_fract_y
_atom_site_fract_z
_atom_site_occupancy
Y1 Y 0.000 0.000 0.500 1
Y2 Y 0.000 0.500 0.000 1
Y3 Y 0.500 0.000 0.000 1
Er1 Er 0.500 0.500 0.500 1
Ni1 Ni 0.000 0.000 0.000 1
```

---

Record 5
Here is a relaxed CaMn2Fe crystal from Alexandria. Energies are from GGA-PBE.

Output
Density of states at the Fermi level (states/eV per cell): 6.48
Formation energy (eV/f.u.): 2.53
Offset from the most stable computed form (eV/atom): 0.287
Total DFT energy (no corrections) (eV for the cell shown): -52.6
Size of the total moment (μB/cell): 19.7

```
data_CaMn2Fe
_cell_length_a 4.132
_cell_length_b 4.132
_cell_length_c 8.077
_cell_angle_alpha 90.00
_cell_angle_beta 90.00
_cell_angle_gamma 90.00
_space_group_name_H-M_alt 'P 1'
_space_group_IT_number 1
loop_
_space_group_symop_operation_xyz
'x,y,z'
loop_
_atom_site_label
_atom_site_type_symbol
_atom_site_fract_x
_atom_site_fract_y
_atom_site_fract_z
_atom_site_occupancy
Ca1 Ca 0.000 0.000 0.000 1
Ca2 Ca 0.500 0.500 0.500 1
Mn1 Mn 0.000 0.500 0.250 1
Mn2 Mn 0.000 0.500 0.750 1
Mn3 Mn 0.500 0.000 0.250 1
Mn4 Mn 0.500 0.000 0.750 1
Fe1 Fe 0.000 0.000 0.500 1
Fe2 Fe 0.500 0.500 0.000 1
```

---

Record 6
Here is a relaxed TaHg2RhN crystal from Alexandria. Energies are from GGA-PBE.

Output
Density of states at the Fermi level (states/eV per cell): 3.39
Uncorrected formation energy (kcal/mol of atoms): 37.56
Total DFT energy (no corrections) (eV for the cell shown): -20.0
Size of the total moment (μB/cell): 0.9

```
data_TaHg2RhN
_cell_length_a 5.215
_cell_length_b 5.215
_cell_length_c 4.768
_cell_angle_alpha 90.00
_cell_angle_beta 90.00
_cell_angle_gamma 90.00
_space_group_name_H-M_alt 'P 1'
_space_group_IT_number 1
loop_
_space_group_symop_operation_xyz
'x,y,z'
loop_
_atom_site_label
_atom_site_type_symbol
_atom_site_fract_x
_atom_site_fract_y
_atom_site_fract_z
_atom_site_occupancy
Ta1 Ta 0.000 0.000 0.000 1
Hg1 Hg 0.000 0.500 0.500 1
Hg2 Hg 0.500 0.000 0.500 1
Rh1 Rh 0.000 0.000 0.500 1
N1 N 0.500 0.500 0.000 1
```

---

Record 7
Here is a relaxed Zn2FeCu crystal from Alexandria. Energies are from GGA-PBE.

Output
Density of states at the Fermi level (states/eV per cell): 3.02
Formation energy (eV/f.u.): 0.22
Total DFT energy (no corrections) (eV for the cell shown): -14.9
Size of the total moment (μB/cell): 2.5

```
data_Zn2FeCu
_cell_length_a 2.631
_cell_length_b 3.738
_cell_length_c 5.314
_cell_angle_alpha 90.00
_cell_angle_beta 90.00
_cell_angle_gamma 90.00
_space_group_name_H-M_alt 'P 1'
_space_group_IT_number 1
loop_
_space_group_symop_operation_xyz
'x,y,z'
loop_
_atom_site_label
_atom_site_type_symbol
_atom_site_fract_x
_atom_site_fract_y
_atom_site_fract_z
_atom_site_occupancy
Zn1 Zn 0.000 0.000 0.000 1
Zn2 Zn 0.500 0.500 0.273 1
Fe1 Fe 0.500 0.500 0.760 1
Cu1 Cu 0.000 0.000 0.517 1
```

---

Record 8
Here is a relaxed LaBSN2 crystal from Alexandria. Energies are from GGA-PBE.

Output
Density of states at the Fermi level (states/eV per cell): 2.63
Uncorrected formation energy (kcal/mol of atoms): 39.64
Offset from the most stable computed form (eV/atom): 1.422
Total DFT energy (no corrections) (eV for the cell shown): -23.8
Size of the total moment (μB/cell): 0.0

```
data_LaBSN2
_cell_length_a 4.060
_cell_length_b 4.060
_cell_length_c 6.191
_cell_angle_alpha 90.00
_cell_angle_beta 90.00
_cell_angle_gamma 90.00
_space_group_name_H-M_alt 'P 1'
_space_group_IT_number 1
loop_
_space_group_symop_operation_xyz
'x,y,z'
loop_
_atom_site_label
_atom_site_type_symbol
_atom_site_fract_x
_atom_site_fract_y
_atom_site_fract_z
_atom_site_occupancy
La1 La 0.000 0.000 0.000 1
B1 B 0.500 0.500 0.500 1
S1 S 0.000 0.000 0.500 1
N1 N 0.000 0.500 0.000 1
N2 N 0.500 0.000 0.000 1
```